#1
# La2FeBr

La2FeBr at its PBEsol-relaxed geometry (SCAN, Alexandria via LeMat-Bulk).

Results
Its magnetic moment is 0.35 μB per cell. The mass density is 7.2 g/cm³.

```
La2FeBr
1.0
3.452 0.000 0.000
0.000 3.434 0.000
-0.689 0.000 8.005
La Fe Br
2 1 1
Direct
0.080 0.000 0.291 La
0.920 0.000 0.709 La
0.500 0.500 0.500 Fe
0.500 0.500 0.000 Br
```

=====

#2
# La2FeBr

La2FeBr at its PBEsol-relaxed geometry (SCAN, Alexandria via LeMat-Bulk).

Results
Its magnetic moment is 1.45 μB per cell. The mass density is 7.3 g/cm³.

```
La2FeBr
1.0
-2.055 2.055 5.549
2.055 -2.055 5.549
2.055 2.055 -5.549
La Fe Br
2 1 1
Direct
0.000 0.000 0.000 La
0.750 0.250 0.500 La
0.250 0.750 0.500 Fe
0.500 0.500 0.000 Br
```

=====

#3
# La2FeBr

La2FeBr at its PBEsol-relaxed geometry (SCAN, Alexandria via LeMat-Bulk).

Results
Its magnetic moment is 0.00 μB per cell. The mass density is 6.5 g/cm³.

```
La2FeBr
1.0
4.204 0.000 0.000
0.000 4.204 0.000
0.000 0.000 5.965
La Fe Br
2 1 1
Direct
0.000 0.000 0.000 La
0.500 0.500 0.412 La
0.500 0.500 0.054 Fe
0.000 0.000 0.504 Br
```

=====

The winner here is #1, beating the second structure by 57 meV per atom.